The following is a PBE-GGA calculation of a geometry-optimized SrPm3Pa4N12 structure, from Alexandria.

Values from the calculation:
Its energy relative to the elements, uncorrected is -1.1102 eV/atom. As for the density of states at the Fermi level: 1.125 states/eV/atom.

Cell: 7.4403 7.4403 7.4403 Å, 109.47 109.47 109.47°
Last column: nearest neighbours and their distance in Å.
Fractional coordinates of all 20 atoms:
Pa: 0.5000 0.0000 0.0000  6 N 2.22
Pa: 0.5000 0.5000 0.5000  6 N 2.22
Pa: 0.0000 0.5000 0.0000  6 N 2.22
Pa: 0.0000 0.0000 0.5000  6 N 2.22
N: 0.7015 0.7951 0.4966  2 Pa 2.22, 1 Pm 2.47
N: 0.7951 0.0936 0.2985  2 Pa 2.22, 1 Pm 2.47
N: 0.9064 0.7015 0.2049  2 Pa 2.22, 1 Pm 2.47
N: 0.2049 0.9064 0.7015  2 Pa 2.22, 1 Pm 2.47
N: 0.2985 0.2049 0.5034  2 Pa 2.22, 1 Pm 2.47
N: 0.7015 0.2049 0.9064  2 Pa 2.22, 1 Pm 2.47
N: 0.2985 0.7951 0.0936  2 Pa 2.22, 1 Pm 2.47
N: 0.4966 0.7015 0.7951  2 Pa 2.22, 1 Pm 2.47
N: 0.0936 0.2985 0.7951  2 Pa 2.22, 1 Pm 2.47
N: 0.5034 0.2985 0.2049  2 Pa 2.22, 1 Pm 2.47
N: 0.7951 0.4966 0.7015  2 Pa 2.22, 1 Pm 2.47
N: 0.2049 0.5034 0.2985  2 Pa 2.22, 1 Pm 2.47
Sr: 0.0000 0.0000 0.0000  12 N 3.11
Pm: 0.5000 0.5000 0.0000  4 N 2.47
Pm: 0.0000 0.5000 0.5000  4 N 2.47
Pm: 0.5000 0.0000 0.5000  4 N 2.47



The following is a PBE-GGA calculation of a geometry-optimized NdY2Ag structure, from Alexandria.

Values from the calculation:
As for the density of states at the Fermi level: 1.378 states/eV/atom. The calculation puts the formation energy at -0.02 eV/atom. The polymorph energy (0 for the lowest one) comes out at 11.8 kJ per mole of atoms.

Cell: 3.6237 3.6237 10.7307 Å, 80.28 80.28 60.00°
Last column: nearest neighbours and their distance in Å.
Fractional coordinates of all 4 atoms:
Ag: 0.0000 0.0000 0.0000  6 Y 3.11
Y: 0.2604 0.2604 0.2188  3 Ag 3.11
Y: 0.7396 0.7396 0.7812  3 Ag 3.11
Nd: 0.5000 0.5000 0.5000  6 Nd 3.62, 6 Y 3.62



The following is a PBE-GGA calculation of a geometry-optimized MnSb structure, from Alexandria.

Values from the calculation:
Its energy relative to the elements, uncorrected is 0.1756 eV/atom. As for the density of states at the Fermi level: 0.582 states/eV/atom.

Cell: 4.3696 4.3696 14.3741 Å, 90.00 90.00 120.00°
Last column: nearest neighbours and their distance in Å.
Fractional coordinates of all 12 atoms:
Sb: 0.3333 0.6667 0.5661  4 Mn 2.72-2.93
Sb: 0.0000 0.0000 0.2655  7 Mn 2.74-2.88
Sb: 0.3333 0.6667 0.9186  6 Mn 2.52-2.82
Sb: 0.6667 0.3333 0.4339  4 Mn 2.72-2.93
Sb: 0.6667 0.3333 0.0814  6 Mn 2.52-2.82
Sb: 0.0000 0.0000 0.7345  7 Mn 2.74-2.88
Mn: 0.6667 0.3333 0.6376  7 Sb 2.72-2.93, 1 Mn 2.77
Mn: 0.6667 0.3333 0.8304  4 Mn 2.77-2.87, 6 Sb 2.82-2.87
Mn: 0.0000 0.0000 0.9254  1 Mn 2.14
Mn: 0.0000 0.0000 0.0746  1 Mn 2.14
Mn: 0.3333 0.6667 0.1696  4 Mn 2.77-2.87, 6 Sb 2.82-2.87
Mn: 0.3333 0.6667 0.3624  7 Sb 2.72-2.93, 1 Mn 2.77



The following is a PBE-GGA calculation of a geometry-optimized Pr4TlCuAg2 structure, from Alexandria.

Values from the calculation:
As for the density of states at the Fermi level: 1.004 states/eV/atom. The calculation puts the formation energy at -0.24 eV/atom.

Cell: 5.3666 5.3666 9.2465 Å, 73.13 73.13 60.00°
Last column: nearest neighbours and their distance in Å.
Fractional coordinates of all 8 atoms:
Ag: 0.7441 0.7441 0.7677  8 Pr 3.19-3.40
Ag: 0.2559 0.2559 0.2323  8 Pr 3.19-3.40
Pr: 0.1314 0.1314 0.6057  3 Cu 3.23, 4 Ag 3.25-3.40, 1 Tl 3.44, 3 Pr 3.60
Pr: 0.6175 0.6175 0.1475  1 Cu 3.07, 4 Ag 3.19-3.31, 3 Tl 3.35
Pr: 0.8686 0.8686 0.3943  3 Cu 3.23, 4 Ag 3.25-3.40, 1 Tl 3.44, 3 Pr 3.60
Pr: 0.3825 0.3825 0.8525  1 Cu 3.07, 4 Ag 3.19-3.31, 3 Tl 3.35
Cu: 0.5000 0.5000 0.5000  8 Pr 3.07-3.23
Tl: 0.0000 0.0000 0.0000  8 Pr 3.35-3.44, 6 Ag 3.70



The following is a PBE-GGA calculation of a geometry-optimized MgZn4GaNi2 structure, from Alexandria.

Values from the calculation:
As for the density of states at the Fermi level: 0.503 states/eV/atom. The calculation puts the formation energy at 0.04 eV/atom.

Cell: 3.4732 3.4732 10.6848 Å, 90.00 90.00 90.00°
Last column: nearest neighbours and their distance in Å.
Fractional coordinates of all 8 atoms:
Zn: 0.0000 0.5000 0.7796  4 Zn 2.46, 2 Ni 2.51
Zn: 0.5000 0.0000 0.7796  4 Zn 2.46, 2 Ni 2.51
Zn: 0.5000 0.0000 0.2204  4 Zn 2.46, 2 Ni 2.51
Zn: 0.0000 0.5000 0.2204  4 Zn 2.46, 2 Ni 2.51
Mg: 0.0000 0.0000 0.0000  8 Zn 2.93
Ga: 0.0000 0.0000 0.5000  8 Ni 2.72
Ni: 0.5000 0.5000 0.3903  1 Ni 2.35, 4 Zn 2.51
Ni: 0.5000 0.5000 0.6097  1 Ni 2.35, 4 Zn 2.51



The following is a PBE-GGA calculation of a geometry-optimized TbThMgZr structure, from Alexandria.

Values from the calculation:
As for the density of states at the Fermi level: 1.579 states/eV/atom. The calculation puts the formation energy at 0.11 eV/atom.

Cell: 5.3685 5.3685 5.3685 Å, 60.00 60.00 60.00°
Last column: nearest neighbours and their distance in Å.
Fractional coordinates of all 4 atoms:
Mg: 0.0000 0.0000 0.0000  4 Tb 3.29, 4 Th 3.29
Zr: 0.5000 0.5000 0.5000  4 Th 3.29, 4 Tb 3.29
Tb: 0.2500 0.2500 0.2500  4 Zr 3.29, 4 Mg 3.29
Th: 0.7500 0.7500 0.7500  4 Mg 3.29, 4 Zr 3.29